TmMn10Cr2: optimized geometry, GGA-PBE.

DOS at the Fermi energy in states/eV/atom: 1.138
E_form in eV per atom: 0.01
DFT total energy in eV/atom: -8.868
Size of the total moment in μB per formula unit: 1.644

a b c (Å): 6.314 6.314 8.040
angles (deg): 90.00 90.00 97.37
Fractional coordinates of all 26 atoms:
Tm (0.121, 0.879, 0.750)
Tm (0.879, 0.121, 0.250)
Mn (0.124, 0.376, 0.750)
Mn (0.174, 0.826, 0.106)
Mn (0.174, 0.826, 0.394)
Mn (0.227, 0.227, 0.000)
Mn (0.227, 0.227, 0.500)
Mn (0.258, 0.476, 0.250)
Mn (0.376, 0.124, 0.250)
Mn (0.398, 0.602, 0.571)
Mn (0.398, 0.602, 0.929)
Mn (0.476, 0.258, 0.750)
Mn (0.524, 0.742, 0.250)
Mn (0.602, 0.398, 0.071)
Mn (0.602, 0.398, 0.429)
Mn (0.624, 0.876, 0.750)
Mn (0.742, 0.524, 0.750)
Mn (0.773, 0.773, 0.000)
Mn (0.773, 0.773, 0.500)
Mn (0.826, 0.174, 0.606)
Mn (0.826, 0.174, 0.894)
Mn (0.876, 0.624, 0.250)
Cr (0.000, 0.500, 0.000)
Cr (0.000, 0.500, 0.500)
Cr (0.500, 0.000, 0.000)
Cr (0.500, 0.000, 0.500)